(1)
Here is Ac2ScHg3 after structural relaxation from Alexandria via LeMat-Bulk. Energies are from GGA-PBE.

Unit cell a=3.7605 b=3.7605 c=12.2806 alpha=90.00 beta=90.00 gamma=90.00
Last column: nearest neighbours and their distance in Å.
Positions (direct):
Sc  0.5000  0.5000  0.5000  8 Hg 3.09
Hg  0.0000  0.0000  0.0000  8 Ac 3.48, 4 Hg 3.76
Hg  0.0000  0.0000  0.6283  4 Sc 3.09, 1 Hg 3.15
Hg  0.0000  0.0000  0.3717  4 Sc 3.09, 1 Hg 3.15
Ac  0.5000  0.5000  0.8169  8 Hg 3.48-3.53, 4 Ac 3.76, 1 Sc 3.89
Ac  0.5000  0.5000  0.1831  8 Hg 3.48-3.53, 4 Ac 3.76, 1 Sc 3.89

Total moment = 0.0 μB per formula unit
Calculated formation energy = -0.41 eV per atom
Calculated total energy = -17.92 eV/cell
Fermi-level density of states = 0.9768 states/eV per atom
Symmetry = No. 123

(2)
Here is Tl2SbSe after structural relaxation from Alexandria via LeMat-Bulk. Energies are from GGA-PBE.

Unit cell a=8.0241 b=8.0241 c=5.4458 alpha=55.52 beta=55.52 gamma=27.05
Last column: nearest neighbours and their distance in Å.
Positions (direct):
Tl  0.7406  0.7406  0.9424  4 Se 3.26-3.42, 2 Sb 3.45
Tl  0.0320  0.0320  0.7830  1 Se 3.14, 2 Sb 3.29
Se  0.2789  0.2789  0.3963  1 Sb 2.59
Sb  0.4485  0.4485  0.3782  1 Se 2.59

Total moment = 0.0 μB per formula unit
Relative energy among the computed polymorphs = 0.0000 eV/atom
Calculated total energy = -12.73 eV/cell
Fermi-level density of states = 0.3313 states/eV per atom
Formation energy from raw total energies = -0.0975 eV/atom
Symmetry = No. 8

(3)
Here is NaCu2H8Ir after structural relaxation from Alexandria via LeMat-Bulk. Energies are from GGA-PBE.

Unit cell a=6.0541 b=4.4575 c=5.9262 alpha=75.57 beta=58.74 gamma=81.81
Last column: nearest neighbours and their distance in Å.
Positions (direct):
Cu  0.2837  0.4932  0.7307  3 H 1.59-1.67
Cu  0.7163  0.5068  0.2693  3 H 1.59-1.67
H  0.5059  0.7089  0.4801  2 Cu 1.59-1.61, 1 H 1.72
H  0.4941  0.2911  0.5199  2 Cu 1.59-1.61, 1 H 1.72
H  0.0084  0.6853  0.2256  1 Ir 1.70
H  0.2546  0.8719  0.7326  1 Cu 1.67, 1 Ir 1.70, 1 H 1.72
H  0.7454  0.1281  0.2674  1 Cu 1.67, 1 Ir 1.70, 1 H 1.72
H  0.9916  0.3147  0.7744  1 Ir 1.70
H  0.2378  0.1546  0.0048  1 Ir 1.70, 1 Cu 1.85
H  0.7622  0.8454  0.9952  1 Ir 1.70, 1 Cu 1.85
Ir  0.0000  0.0000  0.0000  6 H 1.70
Na  0.0000  0.0000  0.5000  6 H 2.38-2.48

Total moment = 0.0 μB per formula unit
Calculated total energy = -45.24 eV/cell
Symmetry = No. 2

(4)
Here is Sn6Hg3As2Au after structural relaxation from Alexandria via LeMat-Bulk. Energies are from GGA-PBE.

Unit cell a=7.2023 b=7.2023 c=7.5400 alpha=99.32 beta=99.32 gamma=120.59
Last column: nearest neighbours and their distance in Å.
Positions (direct):
Sn  0.3984  0.0701  0.2158  1 Au 2.81, 2 As 2.87-2.89, 3 Hg 3.11-3.12
Sn  0.2514  0.2514  0.7772  1 Au 2.83, 2 As 2.86, 3 Hg 3.14-3.15
Sn  0.0701  0.3984  0.2158  1 Au 2.81, 2 As 2.87-2.89, 3 Hg 3.11-3.12
Sn  0.6016  0.9299  0.7842  1 Au 2.81, 2 As 2.87-2.89, 3 Hg 3.11-3.12
Sn  0.9299  0.6016  0.7842  1 Au 2.81, 2 As 2.87-2.89, 3 Hg 3.11-3.12
Sn  0.7486  0.7486  0.2228  1 Au 2.83, 2 As 2.86, 3 Hg 3.14-3.15
Hg  0.8266  0.1734  0.5000  6 Sn 3.11-3.14
Hg  0.5000  0.5000  0.5000  6 Sn 3.12-3.15
Hg  0.1734  0.8266  0.5000  6 Sn 3.11-3.14
As  0.3367  0.6633  0.0000  6 Sn 2.86-2.89
As  0.6633  0.3367  0.0000  6 Sn 2.86-2.89
Au  0.0000  0.0000  0.0000  6 Sn 2.81-2.83

Total moment = 0.0 μB per formula unit
Calculated formation energy = -0.03 eV per atom
Calculated total energy = -37.82 eV/cell
Fermi-level density of states = 0.4751 states/eV per atom
Symmetry = No. 12

(5)
Here is Ba2NaTl6Zn after structural relaxation from Alexandria via LeMat-Bulk. Energies are from GGA-PBE.

Unit cell a=7.9133 b=7.9133 c=7.9133 alpha=60.00 beta=60.00 gamma=90.00
Last column: nearest neighbours and their distance in Å.
Positions (direct):
Tl  0.7592  0.7592  0.0000  1 Zn 2.70, 1 Na 2.90
Tl  0.7592  0.2408  0.0000  1 Zn 2.70, 1 Na 2.90
Tl  0.2408  0.7592  0.0000  1 Zn 2.70, 1 Na 2.90
Tl  0.2408  0.2408  0.5183  1 Zn 2.70, 1 Na 2.90
Tl  0.2408  0.2408  0.0000  1 Zn 2.70, 1 Na 2.90
Tl  0.7592  0.7592  0.4817  1 Zn 2.70, 1 Na 2.90
Ba  0.7500  0.2500  0.5000  12 Tl 3.96
Ba  0.2500  0.7500  0.5000  12 Tl 3.96
Na  0.5000  0.5000  0.0000  6 Tl 2.90
Zn  0.0000  0.0000  0.0000  6 Tl 2.70

Total moment = 0.0 μB per formula unit
Calculated formation energy = -0.08 eV per atom
Calculated total energy = -21.45 eV/cell
Fermi-level density of states = 0.8576 states/eV per atom
Symmetry = No. 225

(6)
Here is LiErAl4Pd2 after structural relaxation from Alexandria via LeMat-Bulk. Energies are from GGA-PBE.

Unit cell a=4.2702 b=4.2702 c=8.9291 alpha=76.17 beta=76.17 gamma=60.00
Last column: nearest neighbours and their distance in Å.
Positions (direct):
Pd  0.7649  0.7649  0.7053  7 Al 2.58-2.70
Pd  0.2351  0.2351  0.2947  7 Al 2.58-2.70
Er  0.0000  0.0000  0.0000  8 Al 3.03-3.35
Al  0.5984  0.5984  0.2047  1 Li 2.53, 3 Pd 2.58
Al  0.8698  0.8698  0.3906  4 Pd 2.60-2.70, 3 Li 2.64
Al  0.4016  0.4016  0.7953  1 Li 2.53, 3 Pd 2.58
Al  0.1302  0.1302  0.6094  4 Pd 2.60-2.70, 3 Li 2.64
Li  0.5000  0.5000  0.5000  8 Al 2.53-2.64

Total moment = 0.0 μB per formula unit
Calculated formation energy = -0.63 eV per atom
Calculated total energy = -36.85 eV/cell
Fermi-level density of states = 0.3491 states/eV per atom
Symmetry = No. 166

(7)
Here is K2DyTiSe4 after structural relaxation from Alexandria via LeMat-Bulk. Energies are from GGA-PBE.

Unit cell a=4.0323 b=7.0059 c=8.0070 alpha=106.89 beta=90.00 gamma=90.00
Last column: nearest neighbours and their distance in Å.
Positions (direct):
Se  0.0000  0.2485  0.7978  1 Ti 2.70, 2 Dy 2.85
Se  0.5000  0.7862  0.8069  2 Ti 2.71, 1 Dy 2.87
Se  0.5000  0.2138  0.1931  2 Ti 2.71, 1 Dy 2.87
Se  0.0000  0.7515  0.2022  1 Ti 2.70, 2 Dy 2.85
K  0.0000  0.5000  0.5000  6 Se 3.35-3.36
K  0.5000  0.0000  0.5000  6 Se 3.22-3.23
Dy  0.5000  0.5000  0.0000  6 Se 2.85-2.87
Ti  0.0000  0.0000  0.0000  6 Se 2.70-2.71

Total moment = 1.0 μB per formula unit
Calculated total energy = -40.11 eV/cell
Fermi-level density of states = 0.5469 states/eV per atom
Formation energy from raw total energies = -1.4354 eV/atom
Symmetry = No. 10

(8)
Here is V2IrWCl after structural relaxation from Alexandria via LeMat-Bulk. Energies are from GGA-PBE.

Unit cell a=4.7574 b=4.7137 c=4.7574 alpha=90.00 beta=90.00 gamma=90.00
Last column: nearest neighbours and their distance in Å.
Positions (direct):
Cl  0.5000  0.5000  0.5000  8 V 3.35, 4 Ir 3.36
Ir  0.0000  0.5000  0.0000  2 W 2.36
V  0.0000  0.0000  0.5000  2 W 2.38
V  0.5000  0.0000  0.0000  2 W 2.38
W  0.0000  0.0000  0.0000  2 Ir 2.36, 4 V 2.38

Total moment = 0.0 μB per formula unit
Calculated total energy = -33.89 eV/cell
Fermi-level density of states = 1.4691 states/eV per atom
Formation energy from raw total energies = 1.6020 eV/atom
Symmetry = No. 123

(9)
Here is PmDy2Cd after structural relaxation from Alexandria via LeMat-Bulk. Energies are from GGA-PBE.

Unit cell a=3.6199 b=3.6199 c=9.0369 alpha=90.00 beta=90.00 gamma=90.00
Last column: nearest neighbours and their distance in Å.
Positions (direct):
Pm  0.5000  0.5000  0.5000  8 Dy 3.58, 4 Pm 3.62
Cd  0.5000  0.5000  0.0000  8 Dy 3.26, 4 Cd 3.62
Dy  0.0000  0.0000  0.7772  4 Cd 3.26, 4 Pm 3.58, 4 Dy 3.62
Dy  0.0000  0.0000  0.2228  4 Cd 3.26, 4 Pm 3.58, 4 Dy 3.62

Total moment = 0.0 μB per formula unit
Relative energy among the computed polymorphs = 0.0000 eV/atom
Calculated formation energy = -0.15 eV per atom
Calculated total energy = -15.47 eV/cell
Fermi-level density of states = 1.0232 states/eV per atom
Symmetry = No. 123

(10)
Here is Pr2Nd4Sn3H2 after structural relaxation from Alexandria via LeMat-Bulk. Energies are from GGA-PBE.

Unit cell a=4.8316 b=4.8316 c=13.4219 alpha=100.37 beta=100.37 gamma=90.00
Last column: nearest neighbours and their distance in Å.
Positions (direct):
Nd  0.4176  0.9176  0.8353  2 H 2.47
Nd  0.0824  0.5824  0.1647  2 H 2.47
Nd  0.9176  0.4176  0.8353  2 H 2.47
Nd  0.5824  0.0824  0.1647  2 H 2.47
Pr  0.3002  0.3002  0.6003  1 H 2.53
Pr  0.6998  0.6998  0.3997  1 H 2.53
Sn  0.1738  0.1738  0.3475  5 Pr 3.28-3.48, 4 Nd 3.39
Sn  0.8262  0.8262  0.6525  5 Pr 3.28-3.48, 4 Nd 3.39
Sn  0.0000  0.0000  0.0000  8 Nd 3.23
H  0.6025  0.6025  0.2050  4 Nd 2.47, 1 Pr 2.53
H  0.3975  0.3975  0.7950  4 Nd 2.47, 1 Pr 2.53

Total moment = 0.0 μB per formula unit
Calculated total energy = -53.54 eV/cell
Fermi-level density of states = 1.0213 states/eV per atom
Symmetry = No. 139